Entry from the Alexandria database: a relaxed NiTePb2F crystal (PBE with a Hubbard U).

Geometry as POSCAR:
```
NiTePb2F
1.0
-3.592 4.162 1.159
-2.943 -2.365 -0.627
0.035 -1.480 5.420
Pb Ni Te F
2 1 1 1
direct
0.000 0.000 0.500 Pb
0.500 0.000 0.000 Pb
0.000 0.500 0.000 Ni
0.500 0.500 0.500 Te
0.000 0.000 0.000 F
```

**Magnetization**: 0.0 μB per cell
**DOS at the Fermi energy**: 5.15 states/eV/cell
**DFT total energy**: -15.68 eV per cell